Tm2OsAu: relaxed, GGA-PBEsol.

- D(E_F): 1.859 states/eV per cell
- Formation energy: -0.55 eV/atom
- V: 19.5 Å³ per atom

Structure (POSCAR):
```
Tm2OsAu
1.0
0.000 3.393 3.393
3.393 0.000 3.393
3.393 3.393 0.000
Tm Os Au
2 1 1
Direct
0.250 0.250 0.250
0.750 0.750 0.750
0.000 0.000 0.000
0.500 0.500 0.500
```